SmUOs | the Open Quantum Materials Database | PBE-GGA | optimized geometry; E_form = 0.81 eV/f.u.; crystal system = cubic; volume = 25.05 A^3/atom; energy relative to the lowest polymorph listed for this composition = 0 meV per atom; energy = -26.42 eV/f.u.
1.0
0.000 3.349 3.349
3.349 0.000 3.349
3.349 3.349 0.000
Os Sm U
1 1 1
Direct
0.000 0.000 0.000
0.250 0.250 0.250
0.750 0.750 0.750

=====

PmZnCo | the Open Quantum Materials Database | PBE-GGA | optimized geometry; E_form = 1.88 eV/f.u.; crystal system = cubic; volume = 23.09 A^3/atom; energy relative to the lowest polymorph listed for this composition = 351 meV per atom; energy = -11.23 eV/f.u.
1.0
-0.121 -3.955 -2.365
-3.724 -2.707 0.225
-2.773 -0.414 -3.659
Co Zn Pm
1 1 1
Direct
0.250 0.250 0.250
0.750 0.750 0.750
0.000 0.000 0.000

=====

CdRe2O4 | the Open Quantum Materials Database | PBE-GGA | optimized geometry; crystal system = cubic; volume = 12.97 A^3/atom; energy = -50.00 eV/f.u.
1.0
-1.621 5.975 -1.438
-3.249 -4.861 -2.493
-0.540 1.341 6.189
Cd O Re
2 8 4
Direct
0.000 0.000 0.000
0.750 0.500 0.250
0.608 0.216 0.824
0.574 0.716 0.858
0.142 0.716 0.858
0.608 0.784 0.392
0.608 0.216 0.392
0.176 0.784 0.392
0.142 0.284 0.858
0.142 0.284 0.426
0.375 0.750 0.625
0.875 0.250 0.625
0.375 0.750 0.125
0.375 0.250 0.625

=====

Si2AgW | the Open Quantum Materials Database | PBE-GGA | optimized geometry; crystal system = cubic; volume = 15.56 A^3/atom; energy = -23.43 eV/f.u.
1.0
-2.692 1.429 3.240
-3.472 2.603 -0.979
-4.139 -1.599 0.320
W Si Ag
1 2 1
Direct
0.000 0.000 0.000
0.250 0.250 0.250
0.500 0.500 0.500
0.750 0.750 0.750

=====

PrHg | the Open Quantum Materials Database | PBE-GGA | optimized geometry; E_form = -0.56 eV/f.u.; crystal system = hexagonal; volume = 29.06 A^3/atom; energy = -5.63 eV/f.u.
1.0
-2.550 -1.798 1.863
-0.193 0.192 -3.624
2.735 -4.266 -0.373
Hg Pr
1 1
Direct
0.667 0.333 0.750
0.333 0.667 0.250

=====

BaPdF4 | the Open Quantum Materials Database | PBE-GGA | optimized geometry; crystal system = orthorhombic; volume = 14.02 A^3/atom; energy relative to the lowest polymorph listed for this composition = 0 meV per atom; energy = -28.88 eV/f.u.
1.0
2.178 -6.794 0.000
2.178 6.794 0.000
0.000 0.000 5.683
Ba F Pd
2 8 2
Direct
0.635 0.365 0.988
0.365 0.635 0.488
0.789 0.211 0.702
0.010 0.990 0.200
0.211 0.789 0.202
0.416 0.584 0.976
0.804 0.196 0.269
0.584 0.416 0.476
0.990 0.010 0.700
0.196 0.804 0.769
0.893 0.107 0.972
0.107 0.893 0.472

=====

Cu5Ag2 | the Open Quantum Materials Database | PBE-GGA | optimized geometry; E_form = 0.58 eV/f.u.; crystal system = monoclinic; volume = 13.70 A^3/atom; energy relative to the lowest polymorph listed for this composition = 32 meV per atom; energy = -23.65 eV/f.u.
1.0
0.671 4.496 1.039
-1.995 4.175 0.578
-1.046 -2.149 7.542
Cu Ag
5 2
Direct
0.941 0.941 0.705
0.641 0.641 0.553
0.500 0.500 0.000
0.359 0.359 0.447
0.059 0.059 0.295
0.219 0.219 0.842
0.781 0.781 0.158

=====

MgCdSeO | the Open Quantum Materials Database | PBE-GGA | optimized geometry; crystal system = orthorhombic; volume = 18.69 A^3/atom; energy relative to the lowest polymorph listed for this composition = 224 meV per atom; energy = -15.86 eV/f.u.
1.0
-5.125 0.550 3.068
0.028 -3.528 0.679
7.208 2.297 11.628
Se Cd Mg O
4 4 4 4
Direct
0.270 0.750 0.432
0.730 0.250 0.568
0.770 0.750 0.068
0.230 0.250 0.932
0.126 0.250 0.307
0.626 0.250 0.193
0.374 0.750 0.807
0.874 0.750 0.693
0.787 0.250 0.909
0.213 0.750 0.091
0.713 0.750 0.409
0.287 0.250 0.591
0.258 0.250 0.161
0.742 0.750 0.839
0.758 0.250 0.339
0.242 0.750 0.661

=====

TbTmSbCl2 | the Open Quantum Materials Database | PBE-GGA | optimized geometry; crystal system = trigonal; volume = 30.94 A^3/atom; energy = -24.91 eV/f.u.
1.0
4.132 0.000 0.000
-2.066 3.578 0.000
0.000 0.000 10.464
Cl Sb Tm Tb
2 1 1 1
Direct
0.667 0.333 0.682
0.333 0.667 0.313
0.000 0.000 0.004
0.667 0.333 0.170
0.333 0.667 0.831

=====

FeBAs | the Open Quantum Materials Database | PBE-GGA | optimized geometry; crystal system = cubic; volume = 12.00 A^3/atom; energy relative to the lowest polymorph listed for this composition = 0 meV per atom; energy = -18.11 eV/f.u.
1.0
0.000 2.621 2.621
2.621 0.000 2.621
2.621 2.621 0.000
B Fe As
1 1 1
Direct
0.750 0.750 0.750
0.000 0.000 0.000
0.250 0.250 0.250

=====

MgIrNO | the Open Quantum Materials Database | PBE-GGA | optimized geometry; crystal system = tetragonal; volume = 13.08 A^3/atom; energy relative to the lowest polymorph listed for this composition = 254 meV per atom; energy = -26.12 eV/f.u.
1.0
-2.967 -2.370 -0.167
1.546 -1.723 -3.014
3.437 -4.612 4.400
N O Ir Mg
2 2 2 2
Direct
0.000 0.500 0.626
0.500 0.000 0.374
0.000 0.000 0.000
0.500 0.500 0.000
0.500 0.500 0.500
0.000 0.000 0.500
0.500 0.000 0.067
0.000 0.500 0.933

=====

ErScCSe | the Open Quantum Materials Database | PBE-GGA | optimized geometry; crystal system = hexagonal; volume = 18.05 A^3/atom; energy relative to the lowest polymorph listed for this composition = 0 meV per atom; energy = -28.23 eV/f.u.
1.0
-3.514 -0.513 0.690
2.268 -2.818 -0.025
2.199 1.659 12.438
Sc C Er Se
2 2 2 2
Direct
0.667 0.333 0.600
0.333 0.667 0.100
0.000 0.000 0.005
0.000 0.000 0.505
0.667 0.333 0.902
0.333 0.667 0.402
0.333 0.667 0.744
0.667 0.333 0.244

=====

KTbAlSe3 | the Open Quantum Materials Database | PBE-GGA | optimized geometry; crystal system = orthorhombic; volume = 29.14 A^3/atom; energy = -27.49 eV/f.u.
1.0
2.148 -7.356 0.000
2.148 7.356 0.000
0.000 0.000 11.069
Tb Se K Al
2 6 2 2
Direct
0.000 0.000 0.500
0.000 0.000 0.000
0.628 0.372 0.927
0.940 0.060 0.750
0.060 0.940 0.250
0.372 0.628 0.427
0.628 0.372 0.573
0.372 0.628 0.073
0.744 0.256 0.250
0.256 0.744 0.750
0.529 0.471 0.750
0.471 0.529 0.250

=====

Na2Hf2AlGaPd2 | the Open Quantum Materials Database | PBE-GGA | optimized geometry; crystal system = tetragonal; volume = 17.31 A^3/atom; energy = -41.38 eV/f.u.
1.0
4.608 0.000 0.000
0.000 4.608 0.000
0.000 0.000 6.520
Hf Pd Na Al Ga
2 2 2 1 1
Direct
0.000 0.000 0.500
0.500 0.500 0.000
0.000 0.500 0.246
0.500 0.000 0.754
0.000 0.500 0.747
0.500 0.000 0.253
0.000 0.000 0.000
0.500 0.500 0.500

=====

TbGaPd | the Open Quantum Materials Database | PBE-GGA | optimized geometry; crystal system = orthorhombic; volume = 20.00 A^3/atom; energy = -15.53 eV/f.u.
1.0
-2.346 -6.266 2.001
1.003 -1.669 -4.050
6.998 -1.826 2.486
Ga Tb Pd
4 4 4
Direct
0.821 0.750 0.921
0.179 0.250 0.079
0.679 0.250 0.421
0.321 0.750 0.579
0.517 0.250 0.800
0.483 0.750 0.200
0.983 0.750 0.300
0.017 0.250 0.700
0.216 0.750 0.908
0.284 0.250 0.408
0.784 0.250 0.092
0.716 0.750 0.592

=====

CuOs3N5 | the Open Quantum Materials Database | PBE-GGA | optimized geometry; crystal system = hexagonal; volume = 11.34 A^3/atom; energy = -69.95 eV/f.u.
1.0
-2.280 4.320 -2.561
-2.947 -2.923 3.631
1.206 2.327 2.852
N Os Cu
5 3 1
Direct
0.667 0.333 0.829
0.333 0.667 0.171
0.667 0.333 0.171
0.000 0.000 0.500
0.333 0.667 0.829
0.000 0.500 0.500
0.500 0.000 0.500
0.500 0.500 0.500
0.000 0.000 0.000

=====

WAu2 | the Open Quantum Materials Database | PBE-GGA | optimized geometry; E_form = 2.76 eV/f.u.; crystal system = cubic; volume = 17.53 A^3/atom; energy = -16.73 eV/f.u.
1.0
0.000 3.746 3.746
3.746 0.000 3.746
3.746 3.746 0.000
W Au
2 4
Direct
0.000 0.000 0.000
0.250 0.250 0.250
0.625 0.625 0.625
0.625 0.625 0.125
0.125 0.625 0.625
0.625 0.125 0.625

=====

Tm3Ga3GePd2 | the Open Quantum Materials Database | PBE-GGA | optimized geometry; crystal system = hexagonal; volume = 21.13 A^3/atom; energy relative to the lowest polymorph listed for this composition = 306 meV per atom; energy = -41.85 eV/f.u.
1.0
-0.028 5.991 -4.630
-6.239 -4.222 0.767
-1.154 2.230 2.893
Pd Tm Ga Ge
2 3 3 1
Direct
0.333 0.667 0.500
0.667 0.333 0.500
0.719 0.000 0.500
0.000 0.719 0.500
0.281 0.281 0.500
0.598 0.598 0.000
0.402 0.000 0.000
0.000 0.402 0.000
0.000 0.000 0.000

=====

Zn2AgAu | the Open Quantum Materials Database | PBE-GGA | optimized geometry; E_form = -0.63 eV/f.u.; crystal system = orthorhombic; volume = 16.10 A^3/atom; energy relative to the lowest polymorph listed for this composition = 0 meV per atom; energy = -9.25 eV/f.u.
1.0
4.478 0.000 0.000
0.000 6.399 0.000
0.000 0.000 13.482
Au Zn Ag
6 12 6
Direct
0.500 0.000 0.167
0.000 0.500 0.667
0.000 0.500 0.000
0.500 0.000 0.833
0.000 0.500 0.333
0.500 0.000 0.500
0.000 0.251 0.833
0.500 0.751 0.000
0.000 0.251 0.167
0.500 0.751 0.333
0.000 0.749 0.833
0.500 0.751 0.667
0.000 0.251 0.500
0.000 0.749 0.167
0.500 0.249 0.333
0.500 0.249 0.667
0.000 0.749 0.500
0.500 0.249 0.000
0.500 0.500 0.833
0.000 0.000 0.000
0.000 0.000 0.667
0.000 0.000 0.333
0.500 0.500 0.167
0.500 0.500 0.500

=====

NdBi | the Open Quantum Materials Database | PBE-GGA | optimized geometry; crystal system = cubic; volume = 47.37 A^3/atom; energy relative to the lowest polymorph listed for this composition = 542 meV per atom; energy = -9.66 eV/f.u.
1.0
0.000 3.618 3.618
3.618 0.000 3.618
3.618 3.618 0.000
Nd Bi
1 1
Direct
0.250 0.250 0.250
0.000 0.000 0.000